A relaxed Rb2IrCl crystal, computed with PBE-GGA.

Values from the calculation:
* DFT total energy: -2.994 eV/atom
* energy relative to the elements, uncorrected: 167 meV/atom
* total magnetization: 4.0 Bohr magnetons per cell

Cell: 7.916 7.916 7.916 Å, 111.35 111.35 105.77°
Positions (direct):
Rb: 0.091 0.625 0.966
Rb: 0.375 0.341 0.466
Rb: 0.659 0.125 0.034
Rb: 0.875 0.909 0.534
Ir: 0.250 0.750 0.500
Ir: 0.500 0.500 0.000
Cl: 0.000 0.000 0.000
Cl: 0.750 0.250 0.500